[1]
# LiAsH2O4, relaxed, DFT PBEsol
data_LiAsH2O4
_space_group_name_H-M_alt 'P n a 21'
_space_group_IT_number 33
_cell_length_a 6.4470
_cell_length_b 7.7306
_cell_length_c 7.2309
_cell_angle_alpha 90.00
_cell_angle_beta 90.00
_cell_angle_gamma 90.00
loop_
_space_group_symop_operation_xyz
'x,y,z'
'-x,-y,z+1/2'
'-x+1/2,y+1/2,z+1/2'
'x+1/2,-y+1/2,z'
loop_
_atom_site_label
_atom_site_type_symbol
_atom_site_fract_x
_atom_site_fract_y
_atom_site_fract_z
Li1 Li 0.0201 0.2115 0.0000
As1 As 0.1938 0.5789 0.8279
H1 H 0.0061 0.3615 0.6639
H2 H 0.0099 0.8681 0.9485
O1 O 0.0638 0.0146 0.4097
O2 O 0.0689 0.3823 0.8006
O3 O 0.0717 0.6949 0.9955
O4 O 0.2166 0.6909 0.6307
# Raw total energy: -5.72 eV per atom
# Total magnetization: 0.0 μB/cell
# Crystal system: orthorhombic

[2]
# MgAs3H, relaxed, DFT PBEsol
data_MgAs3H
_space_group_name_H-M_alt 'P m -3 m'
_space_group_IT_number 221
_space_group_name_Hall '-P 4 2 3'
_cell_length_a 4.9022
_cell_length_b 4.9022
_cell_length_c 4.9022
_cell_angle_alpha 90.00
_cell_angle_beta 90.00
_cell_angle_gamma 90.00
loop_
_atom_site_label
_atom_site_type_symbol
_atom_site_fract_x
_atom_site_fract_y
_atom_site_fract_z
Mg1 Mg 0.0000 0.0000 0.0000
As1 As 0.0000 0.0000 0.5000
H1 H 0.5000 0.5000 0.5000
# Raw total energy: -2.87 eV per atom
# Total magnetization: 0.6 μB/cell
# Crystal system: cubic

[3]
# Mg3AsH, relaxed, DFT PBEsol
data_Mg3AsH
_space_group_name_H-M_alt 'P m -3 m'
_space_group_IT_number 221
_space_group_name_Hall '-P 4 2 3'
_cell_length_a 5.0800
_cell_length_b 5.0800
_cell_length_c 5.0800
_cell_angle_alpha 90.00
_cell_angle_beta 90.00
_cell_angle_gamma 90.00
loop_
_atom_site_label
_atom_site_type_symbol
_atom_site_fract_x
_atom_site_fract_y
_atom_site_fract_z
Mg1 Mg 0.0000 0.0000 0.5000
As1 As 0.0000 0.0000 0.0000
H1 H 0.5000 0.5000 0.5000
# Raw total energy: -2.26 eV per atom
# Total magnetization: 0.0 μB/cell
# Crystal system: cubic

[4]
# MgAsH2, relaxed, DFT PBEsol
data_MgAsH2
_space_group_name_H-M_alt 'I -4 2 d'
_space_group_IT_number 122
_space_group_name_Hall 'I -4 2bw'
_cell_length_a 4.6891
_cell_length_b 4.6891
_cell_length_c 8.8897
_cell_angle_alpha 90.00
_cell_angle_beta 90.00
_cell_angle_gamma 90.00
loop_
_atom_site_label
_atom_site_type_symbol
_atom_site_fract_x
_atom_site_fract_y
_atom_site_fract_z
Mg1 Mg 0.0000 0.0000 0.0000
As1 As 0.0000 0.0000 0.5000
H1 H 0.2011 0.2500 0.1250
# Raw total energy: -3.02 eV per atom
# Total magnetization: 0.0 μB/cell
# Crystal system: tetragonal

[5]
# MgAsH16NO10, relaxed, DFT PBEsol
data_MgAsH16NO10
_space_group_name_H-M_alt 'P 1 c 1'
_space_group_IT_number 7
_cell_length_a 7.0396
_cell_length_b 6.0815
_cell_length_c 13.3007
_cell_angle_alpha 90.00
_cell_angle_beta 121.37
_cell_angle_gamma 90.00
loop_
_space_group_symop_operation_xyz
'x,y,z'
'x,-y,z+1/2'
loop_
_atom_site_label
_atom_site_type_symbol
_atom_site_fract_x
_atom_site_fract_y
_atom_site_fract_z
Mg1 Mg 0.0000 0.1451 0.0000
As1 As 0.6251 0.4858 0.6271
H1 H 0.0167 0.2921 0.8072
H2 H 0.2289 0.4691 0.6146
H3 H 0.2522 0.3440 0.9267
H4 H 0.2606 0.0034 0.3750
H5 H 0.2940 0.1122 0.2680
H6 H 0.3689 0.1069 0.6351
H7 H 0.4063 0.2498 0.4020
H8 H 0.4619 0.1381 0.1498
H9 H 0.5113 0.0006 0.3867
H10 H 0.5985 0.2929 0.8063
H11 H 0.6067 0.3483 0.9277
H12 H 0.8272 0.1341 0.1473
H13 H 0.8368 0.2083 0.3364
H14 H 0.8911 0.1111 0.6326
H15 H 0.9691 0.3076 0.4683
H16 H 0.9979 0.4708 0.6149
N1 N 0.3679 0.0960 0.3589
O1 O 0.0695 0.4745 0.0699
O2 O 0.1199 0.2399 0.8916
O3 O 0.3201 0.0518 0.1266
O4 O 0.4678 0.3517 0.6720
O5 O 0.4774 0.4933 0.9767
O6 O 0.6705 0.2458 0.8922
O7 O 0.6850 0.2576 0.1900
O8 O 0.8728 0.3556 0.6730
O9 O 0.9158 0.0475 0.1201
O10 O 0.9243 0.1675 0.4221
# Raw total energy: -5.32 eV per atom
# Total magnetization: 0.0 μB/cell
# Crystal system: monoclinic

[6]
# MgAsH15O11, relaxed, DFT PBEsol
data_MgAsH15O11
_space_group_name_H-M_alt 'C 1 2/c 1'
_space_group_IT_number 15
_cell_length_a 6.5724
_cell_length_b 25.6267
_cell_length_c 11.2769
_cell_angle_alpha 90.00
_cell_angle_beta 95.96
_cell_angle_gamma 90.00
loop_
_space_group_symop_operation_xyz
'x,y,z'
'-x,-y,-z'
'-x,y,-z+1/2'
'x,-y,z+1/2'
'x+1/2,y+1/2,z'
'-x+1/2,-y+1/2,-z'
'-x+1/2,y+1/2,-z+1/2'
'x+1/2,-y+1/2,z+1/2'
loop_
_atom_site_label
_atom_site_type_symbol
_atom_site_fract_x
_atom_site_fract_y
_atom_site_fract_z
Mg1 Mg 0.0000 0.0533 0.2500
Mg2 Mg 0.0000 0.2236 0.7500
As1 As 0.0495 0.4066 0.0470
H1 H 0.0000 0.3710 0.2500
H2 H 0.0000 0.5000 0.0000
H3 H 0.0134 0.1848 0.4787
H4 H 0.0332 0.3116 0.6096
H5 H 0.0419 0.1327 0.8799
H6 H 0.0487 0.0633 0.0079
H7 H 0.0595 0.1651 0.1558
H8 H 0.1067 0.3076 0.1564
H9 H 0.1265 0.2458 0.1415
H10 H 0.1822 0.0451 0.4760
H11 H 0.1865 0.3869 0.8274
H12 H 0.1966 0.3826 0.6888
H13 H 0.1979 0.1499 0.6295
H14 H 0.2035 0.4851 0.3203
H15 H 0.2073 0.0349 0.8006
H16 H 0.2496 0.2145 0.3686
O1 O 0.0043 0.1948 0.3920
O2 O 0.0149 0.3777 0.9118
O3 O 0.0503 0.0568 0.4320
O4 O 0.0537 0.1636 0.6237
O5 O 0.0581 0.3658 0.3541
O6 O 0.0852 0.4650 0.4519
O7 O 0.1014 0.2781 0.6340
O8 O 0.2011 0.0820 0.9035
O9 O 0.2047 0.2785 0.1691
O10 O 0.2117 0.1135 0.2348
O11 O 0.2194 0.0041 0.7466
# Raw total energy: -5.30 eV per atom
# Total magnetization: 0.0 μB/cell
# Crystal system: monoclinic

Q: The highest raw total energy belongs to which entry?
A: Mg3AsH